Compound: BeAsRh
Source: Alexandria via LeMat-Bulk
Functional: PBE
Structure: optimized geometry

Calculated values
The total magnetization is 0.00 μB per cell. Its crystal system is tetragonal. The calculation puts the formation energy at -68 kJ/mol of formula units. The calculation puts the energy above the most stable polymorph in this dataset at 0 meV per atom. For the calculated total energy, the calculation gives -5.479 eV/atom.

Lattice parameters (Å, degrees): 3.234 3.234 7.475 90.00 90.00 90.00
Fractional positions:
Be: 0.000 0.000 0.000
Be: 0.500 0.500 0.500
As: 0.000 0.000 0.679
As: 0.500 0.500 0.179
Rh: 0.000 0.000 0.343
Rh: 0.500 0.500 0.843

Compound: TbPuTl2
Source: Alexandria via LeMat-Bulk
Functional: PBE
Structure: optimized geometry

Calculated values
The total magnetization is 6.09 μB per cell. Its crystal system is tetragonal. The calculation puts the formation energy at -68 kJ/mol of formula units. The calculation puts the energy above the most stable polymorph in this dataset at 0 meV per atom. For the calculated total energy, the calculation gives -6.101 eV/atom.

Lattice parameters (Å, degrees): 3.410 3.410 9.352 90.00 90.00 90.00
Fractional positions:
Tb: 0.000 0.000 0.000
Pu: 0.000 0.000 0.500
Tl: 0.500 0.500 0.247
Tl: 0.500 0.500 0.753

Compound: ZnSbSeN2
Source: Alexandria via LeMat-Bulk
Functional: PBE
Structure: optimized geometry

Calculated values
The total magnetization is 2.55 μB per cell. Its crystal system is tetragonal. The calculation puts the energy above the most stable polymorph in this dataset at 267 meV per atom. Its uncorrected formation energy is 1.3590 eV/atom. For the calculated total energy, the calculation gives -3.747 eV/atom.

Lattice parameters (Å, degrees): 4.058 4.058 5.284 90.00 90.00 90.00
Fractional positions:
Zn: 0.000 0.000 0.000
Sb: 0.500 0.500 0.500
Se: 0.000 0.000 0.500
N: 0.000 0.500 0.000
N: 0.500 0.000 0.000

Compound: LiDyAu
Source: Alexandria via LeMat-Bulk
Functional: PBE
Structure: optimized geometry

Calculated values
The total magnetization is 0.00 μB per cell. Its crystal system is tetragonal. The calculation puts the formation energy at -155 kJ/mol of formula units. The calculation puts the energy above the most stable polymorph in this dataset at 84 meV per atom. For the calculated total energy, the calculation gives -3.800 eV/atom.

Lattice parameters (Å, degrees): 3.700 3.700 9.185 90.00 90.00 90.00
Fractional positions:
Li: 0.000 0.000 0.000
Li: 0.500 0.500 0.500
Dy: 0.000 0.000 0.309
Dy: 0.500 0.500 0.809
Au: 0.000 0.000 0.649
Au: 0.500 0.500 0.149

Compound: Tl2ZnFe2
Source: Alexandria via LeMat-Bulk
Functional: PBE
Structure: optimized geometry

Calculated values
The total magnetization is 9.36 μB per cell. Its crystal system is tetragonal. The calculation puts the formation energy at 240 kJ/mol of formula units. The calculation puts the energy above the most stable polymorph in this dataset at 0 meV per atom. For the calculated total energy, the calculation gives -4.089 eV/atom.

Lattice parameters (Å, degrees): 3.348 3.348 17.818 90.00 90.00 90.00
Fractional positions:
Tl: 0.000 0.000 0.115
Tl: 0.000 0.000 0.885
Tl: 0.500 0.500 0.385
Tl: 0.500 0.500 0.615
Zn: 0.000 0.000 0.500
Zn: 0.500 0.500 0.000
Fe: 0.000 0.500 0.250
Fe: 0.000 0.500 0.750
Fe: 0.500 0.000 0.250
Fe: 0.500 0.000 0.750

Compound: CoOs2Ru
Source: Alexandria via LeMat-Bulk
Functional: PBE
Structure: optimized geometry

Calculated values
The total magnetization is 2.48 μB per cell. Its crystal system is orthorhombic. The calculation puts the formation energy at 204 kJ/mol of formula units. The calculation puts the energy above the most stable polymorph in this dataset at 386 meV per atom. For the calculated total energy, the calculation gives -9.183 eV/atom.

Lattice parameters (Å, degrees): 2.745 4.498 4.502 90.00 90.00 90.00
Fractional positions:
Co: 0.000 0.000 0.000
Os: 0.000 0.500 0.500
Os: 0.500 0.000 0.500
Ru: 0.500 0.500 0.000

Compound: SrLa2Sc
Source: Alexandria via LeMat-Bulk
Functional: PBE
Structure: optimized geometry

Calculated values
The total magnetization is 0.00 μB per cell. Its crystal system is monoclinic. The calculation puts the formation energy at 38 kJ/mol of formula units. The calculation puts the energy above the most stable polymorph in this dataset at 0 meV per atom. For the calculated total energy, the calculation gives -4.368 eV/atom.

Lattice parameters (Å, degrees): 3.958 3.956 9.684 90.00 90.00 90.00
Fractional positions:
Sr: 0.000 0.000 0.000
La: 0.499 0.500 0.701
La: 0.501 0.500 0.299
Sc: 0.000 0.000 0.500

Compound: NbMo3P
Source: Alexandria via LeMat-Bulk
Functional: PBE
Structure: optimized geometry

Calculated values
The total magnetization is 0.00 μB per cell. Its crystal system is cubic. The calculation puts the formation energy at 215 kJ/mol of formula units. The calculation puts the energy above the most stable polymorph in this dataset at 0 meV per atom. For the calculated total energy, the calculation gives -9.149 eV/atom.

Lattice parameters (Å, degrees): 4.448 4.448 4.448 90.00 90.00 90.00
Fractional positions:
Nb: 0.000 0.000 0.000
Mo: 0.000 0.500 0.500
Mo: 0.500 0.000 0.500
Mo: 0.500 0.500 0.000
P: 0.500 0.500 0.500

Compound: ZnCoP2
Source: Alexandria via LeMat-Bulk
Functional: PBE
Structure: optimized geometry

Calculated values
The total magnetization is 0.00 μB per cell. Its crystal system is tetragonal. The calculation puts the formation energy at 46 kJ/mol of formula units. For the calculated total energy, the calculation gives -4.680 eV/atom.

Lattice parameters (Å, degrees): 3.224 3.224 5.219 90.00 90.00 90.00
Fractional positions:
Zn: 0.000 0.000 0.000
Co: 0.000 0.000 0.500
P: 0.500 0.500 0.293
P: 0.500 0.500 0.707

Compound: Ce5Th
Source: Alexandria via LeMat-Bulk
Functional: PBE
Structure: optimized geometry

Calculated values
The total magnetization is 0.00 μB per cell. Its crystal system is orthorhombic. The calculation puts the formation energy at 6 kJ/mol of formula units. The calculation puts the energy above the most stable polymorph in this dataset at 0 meV per atom. For the calculated total energy, the calculation gives -6.171 eV/atom.

Lattice parameters (Å, degrees): 4.790 14.358 4.758 90.00 90.00 90.00
Fractional positions:
Ce: 0.000 0.000 0.000
Ce: 0.000 0.168 0.500
Ce: 0.000 0.332 0.000
Ce: 0.000 0.668 0.000
Ce: 0.000 0.832 0.500
Ce: 0.500 0.168 0.000
Ce: 0.500 0.332 0.500
Ce: 0.500 0.500 0.000
Ce: 0.500 0.668 0.500
Ce: 0.500 0.832 0.000
Th: 0.000 0.500 0.500
Th: 0.500 0.000 0.500

Question: What is the calculated total energy in the ninth record?
Answer: -4.680 eV/atom

Question: The lowest calculated total energy belongs to which entry?
Answer: CoOs2Ru

Question: What is the calculated total energy in the ninth record?
Answer: -4.680 eV/atom

Question: Which of these has the lowest calculated total energy?
Answer: CoOs2Ru